Record 1
Below is ErSiRu2C after structural relaxation, with properties calculated at the GGA-PBEsol level.

```
10
Lattice="3.735 0.000 0.000 -1.868 5.511 0.000 0.000 0.000 7.048" Properties=species:S:1:pos:R:3 pbc="T T T"
C 0.000 0.000 3.524
C 0.000 0.000 0.000
Ru 1.868 3.704 3.925
Ru 1.868 3.704 6.648
Ru 0.000 1.806 0.400
Ru 0.000 1.806 3.124
Er 0.000 4.992 1.762
Er 1.868 0.519 5.286
Si 1.868 2.556 1.762
Si 0.000 2.955 5.286
```

Formation energy (no corrections) in eV/atom: -0.64
Fermi-level density of states in states/eV/f.u.: 2.43

=====

Record 2
Below is ErWC2 after structural relaxation, with properties calculated at the GGA-PBEsol level.

```
16
Lattice="3.314 0.000 0.000 0.000 5.638 0.000 0.000 0.000 10.664" Properties=species:S:1:pos:R:3 pbc="T T T"
C 0.829 3.723 7.970
C 2.486 4.735 2.638
C 2.486 4.349 5.472
C 0.829 1.290 5.192
C 2.486 1.529 10.524
C 2.486 1.916 2.694
C 0.829 0.904 8.026
C 0.829 4.109 0.140
W 0.829 2.273 9.497
W 0.829 5.092 6.499
W 2.486 0.546 4.165
W 2.486 3.365 1.167
Er 0.829 0.481 1.465
Er 2.486 5.157 9.199
Er 2.486 2.338 6.797
Er 0.829 3.300 3.867
```

ΔH_f (0 K) in eV/atom: -0.39
Fermi-level density of states in states/eV/f.u.: 1.16

=====

Record 3
Below is EuC2 after structural relaxation, with properties calculated at the GGA-PBEsol level.

```
3
Lattice="-3.763 0.011 0.710 1.845 -3.749 -0.488 0.590 -2.077 3.162" Properties=species:S:1:pos:R:3 pbc="T T T"
C -1.652 -1.570 1.595
C 0.325 -4.245 1.788
Eu 0.000 0.000 0.000
```

ΔH_f (0 K) in eV/atom: 0.00
Fermi-level density of states in states/eV/f.u.: 9.31

=====

Record 4
Below is EuC6 after structural relaxation, with properties calculated at the GGA-PBEsol level.

```
14
Lattice="-3.886 1.804 0.562 0.307 -4.122 -1.260 0.025 -2.720 8.903" Properties=species:S:1:pos:R:3 pbc="T T T"
C -2.386 -1.545 -0.465
C 0.102 -1.375 -0.420
C -2.578 -0.157 4.826
C -1.181 -2.133 4.219
C -1.296 0.602 0.187
C 0.217 -4.108 3.612
C -1.284 -0.758 4.639
C -1.194 -0.773 -0.233
C -2.590 1.203 0.375
C -2.374 -2.905 3.986
C 0.115 -2.735 4.031
C 0.204 -2.748 -0.840
Eu -2.470 -2.211 6.632
Eu -1.085 -2.827 1.573
```

ΔH_f (0 K) in eV/atom: -0.13
Fermi-level density of states in states/eV/f.u.: 2.03

=====

Record 5
Below is Na3EuC3O9 after structural relaxation, with properties calculated at the GGA-PBEsol level.

```
32
Lattice="-3.682 5.318 1.173 -1.981 -5.381 3.214 5.917 2.404 7.673" Properties=species:S:1:pos:R:3 pbc="T T T"
Eu -1.818 3.483 3.558
Eu 2.067 -1.142 8.506
C 4.405 0.204 9.509
C 0.050 1.875 9.116
C 1.464 -0.991 5.695
C 0.755 3.354 4.842
C -2.186 2.159 1.028
C -2.871 0.432 5.326
O -3.913 0.458 6.122
O 1.161 -2.040 6.373
O -2.241 -0.683 5.189
O -2.503 1.497 4.709
O 1.824 3.205 5.550
O 3.446 3.865 7.655
O -2.828 3.239 1.300
O 1.044 -0.835 4.485
O 3.833 0.603 8.413
O 0.392 2.436 3.997
O -0.579 -1.494 2.381
O 3.997 -0.888 10.051
O 0.009 4.392 4.978
O 0.324 3.000 8.553
O 2.179 -0.069 6.268
O -0.981 1.826 9.927
O -1.262 1.764 1.852
O 0.754 0.822 8.903
Na -0.372 -0.004 0.288
Na 1.083 4.917 7.366
Na 2.587 1.198 4.124
Na -0.875 -2.576 4.730
Na -0.677 0.400 3.645
Na 2.225 1.956 7.414
```

Formation energy (no corrections) in eV/atom: -1.90
Fermi-level density of states in states/eV/f.u.: 11.16

=====

Record 6
Below is EuCO3 after structural relaxation, with properties calculated at the GGA-PBEsol level.

```
20
Lattice="5.066 0.000 0.000 0.000 5.837 0.000 0.000 0.000 8.382" Properties=species:S:1:pos:R:3 pbc="T T T"
Eu 3.800 1.434 4.900
Eu 3.800 4.352 7.673
Eu 1.267 4.404 3.482
Eu 1.267 1.485 0.709
C 3.800 3.426 2.151
C 1.267 2.411 6.231
C 3.800 0.507 2.040
C 1.267 5.330 6.342
O 2.675 3.437 1.499
O 4.924 0.518 2.691
O 3.800 0.559 0.744
O 1.267 5.278 7.638
O 2.675 0.518 2.691
O 3.800 3.478 3.447
O 2.391 5.319 5.690
O 0.142 5.319 5.690
O 2.391 2.401 6.882
O 4.924 3.437 1.499
O 1.267 2.360 4.935
O 0.142 2.401 6.882
```

Formation energy (no corrections) in eV/atom: -2.23
Fermi-level density of states in states/eV/f.u.: 11.97

=====

Record 7
Below is FeSiCF2 after structural relaxation, with properties calculated at the GGA-PBEsol level.

```
5
Lattice="-3.135 -1.259 -0.942 1.551 -2.821 -1.392 -0.389 -2.503 4.641" Properties=species:S:1:pos:R:3 pbc="T T T"
C -0.987 -3.292 1.154
Fe 0.000 0.000 0.000
F -1.568 -0.629 -0.471
F 0.775 -1.411 -0.696
Si -0.195 -1.252 2.321
```

Formation energy (no corrections) in eV/atom: 0.18
Fermi-level density of states in states/eV/f.u.: 2.95

=====

Record 8
Below is GaCF2 after structural relaxation, with properties calculated at the GGA-PBEsol level.

```
8
Lattice="7.547 0.000 0.000 -3.774 3.702 2.081 0.000 4.149 6.305" Properties=species:S:1:pos:R:3 pbc="T T T"
F 1.887 4.882 6.533
F 5.660 4.229 5.541
F 3.180 4.332 3.925
F 4.367 6.406 7.078
C 0.000 2.888 2.617
C 3.774 2.074 3.152
Ga 0.000 0.000 0.000
Ga 3.774 4.962 5.769
```

Formation energy (no corrections) in eV/atom: -0.19
Fermi-level density of states in states/eV/f.u.: 1.67
E above lowest polymorph in eV per atom: 0.000

=====

Repeat the second record exactly.
Below is ErWC2 after structural relaxation, with properties calculated at the GGA-PBEsol level.

```
16
Lattice="3.314 0.000 0.000 0.000 5.638 0.000 0.000 0.000 10.664" Properties=species:S:1:pos:R:3 pbc="T T T"
C 0.829 3.723 7.970
C 2.486 4.735 2.638
C 2.486 4.349 5.472
C 0.829 1.290 5.192
C 2.486 1.529 10.524
C 2.486 1.916 2.694
C 0.829 0.904 8.026
C 0.829 4.109 0.140
W 0.829 2.273 9.497
W 0.829 5.092 6.499
W 2.486 0.546 4.165
W 2.486 3.365 1.167
Er 0.829 0.481 1.465
Er 2.486 5.157 9.199
Er 2.486 2.338 6.797
Er 0.829 3.300 3.867
```

ΔH_f (0 K) in eV/atom: -0.39
Fermi-level density of states in states/eV/f.u.: 1.16

=====

What did the fifth record say?
Below is Na3EuC3O9 after structural relaxation, with properties calculated at the GGA-PBEsol level.

```
32
Lattice="-3.682 5.318 1.173 -1.981 -5.381 3.214 5.917 2.404 7.673" Properties=species:S:1:pos:R:3 pbc="T T T"
Eu -1.818 3.483 3.558
Eu 2.067 -1.142 8.506
C 4.405 0.204 9.509
C 0.050 1.875 9.116
C 1.464 -0.991 5.695
C 0.755 3.354 4.842
C -2.186 2.159 1.028
C -2.871 0.432 5.326
O -3.913 0.458 6.122
O 1.161 -2.040 6.373
O -2.241 -0.683 5.189
O -2.503 1.497 4.709
O 1.824 3.205 5.550
O 3.446 3.865 7.655
O -2.828 3.239 1.300
O 1.044 -0.835 4.485
O 3.833 0.603 8.413
O 0.392 2.436 3.997
O -0.579 -1.494 2.381
O 3.997 -0.888 10.051
O 0.009 4.392 4.978
O 0.324 3.000 8.553
O 2.179 -0.069 6.268
O -0.981 1.826 9.927
O -1.262 1.764 1.852
O 0.754 0.822 8.903
Na -0.372 -0.004 0.288
Na 1.083 4.917 7.366
Na 2.587 1.198 4.124
Na -0.875 -2.576 4.730
Na -0.677 0.400 3.645
Na 2.225 1.956 7.414
```

Formation energy (no corrections) in eV/atom: -1.90
Fermi-level density of states in states/eV/f.u.: 11.16